## CoTc2AsO (GGA+U)

Data for a geometry-optimized CoTc2AsO structure.

Unit cell a=4.623 b=4.623 c=4.163 alpha=90.00 beta=90.00 gamma=90.00
Space group P4/mmm (No. 123)
One atom of each set of equivalent atoms:
Co1 0.000 0.000 0.000 x1
Tc1 0.000 0.500 0.000 x2
As1 0.000 0.000 0.500 x1
O1 0.500 0.500 0.500 x1

## Properties
* excess energy over the best structure of this formula in the dataset: 1338 meV/atom
* energy: -5.454 eV per atom